[1]
This record from the Alexandria database describes a geometry-optimized Ac2Ga3Hg structure. The functional is PBE.

Geometry as POSCAR:
```
Ac2Ga3Hg
1.0
0.000 4.608 7.857
4.544 0.000 7.857
4.544 4.608 0.000
Ac Ga Hg
4 6 2
Cartesian
4.544 2.272 7.857 Ac
2.272 2.304 3.929 Ac
6.816 6.911 11.786 Ac
4.544 6.943 7.857 Ac
6.742 4.608 6.589 Ga
4.544 4.608 5.334 Ga
6.742 4.608 9.125 Ga
2.347 4.608 6.589 Ga
4.544 4.608 10.381 Ga
2.347 4.608 9.125 Ga
4.544 4.608 2.627 Hg
4.544 4.608 13.087 Hg
```

Results
- ΔH_f (0 K) (eV/f.u.) = -3.348

=====

[2]
This record from the Alexandria database describes a geometry-optimized AcGa4Hg structure. The functional is PBE.

Geometry as POSCAR:
```
AcGa4Hg
1.0
0.000 4.111 4.111
4.111 0.000 4.111
4.111 4.111 0.000
Ac Ga Hg
1 4 1
Cartesian
0.000 0.000 0.000 Ac
5.136 3.087 3.087 Ga
3.087 5.136 3.087 Ga
3.087 3.087 5.136 Ga
5.136 5.136 5.136 Ga
2.056 2.056 2.056 Hg
```

Results
- ΔH_f (0 K) (eV/f.u.) = -1.397

=====

[3]
This record from the Alexandria database describes a geometry-optimized Ac6GaHg2 structure. The functional is PBE.

Geometry as POSCAR:
```
Ac6GaHg2
1.0
8.777 0.000 0.000
-4.388 7.601 0.000
0.000 0.000 5.048
Ac Ga Hg
6 1 2
Cartesian
-2.468 5.336 1.249 Ac
1.001 2.796 1.249 Ac
2.922 0.531 3.799 Ac
1.466 7.070 1.249 Ac
3.387 4.805 3.799 Ac
6.856 2.265 3.799 Ac
0.000 0.000 2.524 Ga
0.000 5.067 3.784 Hg
4.388 2.534 1.264 Hg
```

Results
- ΔH_f (0 K) (eV/f.u.) = -2.346

=====

[4]
This record from the Alexandria database describes a geometry-optimized AcGa3Hg structure. The functional is PBE.

Geometry as POSCAR:
```
AcGa3Hg
1.0
-2.333 2.333 5.367
2.333 -2.333 5.367
2.333 2.333 -5.367
Ac Ga Hg
1 3 1
Cartesian
0.000 0.000 0.000 Ac
2.333 0.000 2.613 Ga
0.000 0.000 6.739 Ga
0.000 2.333 2.613 Ga
0.000 0.000 4.081 Hg
```

Results
- ΔH_f (0 K) (eV/f.u.) = -2.218

=====

[5]
This record from the Alexandria database describes a geometry-optimized AcGaHg structure. The functional is PBE.

Geometry as POSCAR:
```
AcGaHg
1.0
0.000 3.564 3.564
3.564 0.000 3.564
3.564 3.564 0.000
Ac Ga Hg
1 1 1
Cartesian
0.000 0.000 0.000 Ac
5.346 5.346 5.346 Ga
3.564 3.564 3.564 Hg
```

Results
- ΔH_f (0 K) (eV/f.u.) = -1.190

=====

[6]
This record from the Alexandria database describes a geometry-optimized AcGa2Hg structure. The functional is PBE.

Geometry as POSCAR:
```
AcGa2Hg
1.0
2.294 1.324 5.610
-2.294 1.324 5.610
0.000 -2.649 5.610
Ac Ga Hg
1 2 1
Cartesian
0.000 0.000 0.000 Ac
0.000 0.000 3.705 Ga
0.000 0.000 13.124 Ga
0.000 0.000 8.414 Hg
```

Results
- ΔH_f (0 K) (eV/f.u.) = -1.589

=====

[7]
This record from the Alexandria database describes a geometry-optimized Ac3Ga3Hg2 structure. The functional is PBE.

Geometry as POSCAR:
```
Ac3Ga3Hg2
1.0
10.268 -2.154 0.000
10.268 2.154 0.000
-1.418 0.000 5.251
Ac Ga Hg
3 3 2
Cartesian
0.000 0.000 0.000 Ac
1.912 0.000 3.332 Ac
17.207 0.000 1.919 Ac
6.382 0.000 4.585 Ga
9.559 0.000 2.625 Ga
12.736 0.000 0.665 Ga
4.473 0.000 1.214 Hg
14.645 0.000 4.037 Hg
```

Results
- ΔH_f (0 K) (eV/f.u.) = -3.014

=====

[8]
This record from the Alexandria database describes a geometry-optimized Ac3Ga2Hg structure. The functional is PBE.

Geometry as POSCAR:
```
Ac3Ga2Hg
1.0
3.941 0.000 0.000
0.000 3.941 0.000
0.000 0.000 12.033
Ac Ga Hg
3 2 1
Cartesian
0.000 0.000 0.000 Ac
0.000 0.000 3.872 Ac
0.000 0.000 8.160 Ac
1.971 1.971 1.988 Ga
1.971 1.971 10.045 Ga
1.971 1.971 6.016 Hg
```

Results
- ΔH_f (0 K) (eV/f.u.) = -2.718

=====

Question: What is the ΔH_f (0 K) in the first record?
Answer: -3.348 eV/f.u.

=====

Question: Which of these has the lowest ΔH_f (0 K)?
Answer: Ac2Ga3Hg

=====

Question: Which formula does entry 8 have?
Answer: Ac3Ga2Hg

=====

Question: The lowest ΔH_f (0 K) belongs to which entry?
Answer: Ac2Ga3Hg